*one*
! SrMg3Os PBE relaxed; values from VASP
! Space-group type: Pm-3m
! ρ in g cm⁻³: 2.74
&SYSTEM
  ibrav = 0, nat = 5, ntyp = 3
/
ATOMIC_SPECIES
Sr 87.62 Sr.upf
Mg 24.30 Mg.upf
Os 190.23 Os.upf
ATOMIC_POSITIONS crystal
Sr 0.000 0.000 0.000
Mg 0.000 0.500 0.000
Mg 0.000 0.000 0.500
Mg 0.500 0.000 0.000
Os 0.500 0.500 0.500
CELL_PARAMETERS angstrom
5.966 0.000 0.000
0.000 5.966 0.000
0.000 0.000 5.966

---

*two*
! SrMg3Os PBE relaxed; values from VASP
! Space-group type: Pm-3m
! ρ in g cm⁻³: 4.37
&SYSTEM
  ibrav = 0, nat = 5, ntyp = 3
/
ATOMIC_SPECIES
Sr 87.62 Sr.upf
Mg 24.30 Mg.upf
Os 190.23 Os.upf
ATOMIC_POSITIONS crystal
Sr 0.500 0.500 0.500
Mg 0.000 0.500 0.000
Mg 0.000 0.000 0.500
Mg 0.500 0.000 0.000
Os 0.000 0.000 0.000
CELL_PARAMETERS angstrom
5.110 0.000 0.000
0.000 5.110 0.000
0.000 0.000 5.110

---

Relative to the most stable one, in kJ/mol of atoms, the structures come out at *one* 197.8; *two* 0.0.

---

*one*
! Mg2TaOs PBE relaxed; values from VASP
! Space-group type: P4mm
! ρ in g cm⁻³: 9.52
&SYSTEM
  ibrav = 0, nat = 4, ntyp = 3
/
ATOMIC_SPECIES
Mg 24.30 Mg.upf
Os 190.23 Os.upf
Ta 180.95 Ta.upf
ATOMIC_POSITIONS crystal
Mg 0.000 0.000 0.991
Mg 0.500 0.500 0.275
Os 0.000 0.000 0.523
Ta 0.500 0.500 0.710
CELL_PARAMETERS angstrom
-2.633 -0.982 -1.610
-1.373 -0.896 2.793
-2.785 6.367 0.673

---

*two*
! Mg2TaOs PBE relaxed; values from VASP
! Space-group type: F-43m
! ρ in g cm⁻³: 10.46
&SYSTEM
  ibrav = 0, nat = 4, ntyp = 3
/
ATOMIC_SPECIES
Mg 24.30 Mg.upf
Os 190.23 Os.upf
Ta 180.95 Ta.upf
ATOMIC_POSITIONS crystal
Mg 0.000 0.000 0.000
Mg 0.750 0.250 0.500
Os 0.500 0.500 0.000
Ta 0.250 0.750 0.500
CELL_PARAMETERS angstrom
-1.115 -3.141 -3.098
4.410 -0.689 -0.885
-1.548 -0.362 4.263

---

*three*
! Mg2TaOs PBE relaxed; values from VASP
! Space-group type: Cmmm
! ρ in g cm⁻³: 10.13
&SYSTEM
  ibrav = 0, nat = 4, ntyp = 3
/
ATOMIC_SPECIES
Mg 24.30 Mg.upf
Os 190.23 Os.upf
Ta 180.95 Ta.upf
ATOMIC_POSITIONS crystal
Mg 0.000 0.000 0.000
Mg 0.500 0.500 0.000
Os 0.500 0.000 0.500
Ta 0.000 0.500 0.500
CELL_PARAMETERS angstrom
5.362 0.008 0.000
-2.669 4.651 0.000
0.000 0.000 2.757

---

*four*
! Mg2TaOs PBE relaxed; values from VASP
! Space-group type: Cm
! ρ in g cm⁻³: 9.79
&SYSTEM
  ibrav = 0, nat = 4, ntyp = 3
/
ATOMIC_SPECIES
Mg 24.30 Mg.upf
Os 190.23 Os.upf
Ta 180.95 Ta.upf
ATOMIC_POSITIONS crystal
Mg 0.999 0.999 0.988
Mg 0.763 0.763 0.756
Os 0.504 0.504 0.462
Ta 0.233 0.233 0.294
CELL_PARAMETERS angstrom
4.807 0.001 0.019
3.827 2.909 0.019
0.956 0.322 5.099

---

Relative to the most stable one, in kJ/mol of atoms, the structures come out at *one* 0.0; *two* 3.0; *three* 29.4; *four* 18.4.

---

*one*
! Mg2TaOs PBE relaxed; values from VASP
! Space-group type: Pmmm
! ρ in g cm⁻³: 10.20
&SYSTEM
  ibrav = 0, nat = 4, ntyp = 3
/
ATOMIC_SPECIES
Mg 24.30 Mg.upf
Os 190.23 Os.upf
Ta 180.95 Ta.upf
ATOMIC_POSITIONS crystal
Mg 0.000 0.000 0.009
Mg 0.000 0.000 0.491
Os 0.500 0.500 0.250
Ta 0.500 0.500 0.750
CELL_PARAMETERS angstrom
2.791 0.000 0.000
0.000 4.526 0.000
0.000 0.000 5.411

---

*two*
! Mg2TaOs PBE relaxed; values from VASP
! Space-group type: C2/m
! ρ in g cm⁻³: 10.19
&SYSTEM
  ibrav = 0, nat = 4, ntyp = 3
/
ATOMIC_SPECIES
Mg 24.30 Mg.upf
Os 190.23 Os.upf
Ta 180.95 Ta.upf
ATOMIC_POSITIONS crystal
Mg 0.000 0.000 0.000
Mg 0.500 0.000 0.500
Os 0.000 0.500 0.500
Ta 0.500 0.500 0.000
CELL_PARAMETERS angstrom
-4.185 2.562 2.099
-0.110 -5.483 0.435
0.482 -0.198 2.698

---

Relative to the most stable one, in kJ/mol of atoms, the structures come out at *one* 2.0; *two* 0.0.